Entry from Alexandria: Ho2AlBPt6 after structural relaxation (PBE).

Cell: 5.6623 7.3003 8.6071 Å, 90.00 90.00 90.00°
Fractional coordinates of all 20 atoms:
Pt1 0.5000 0.1474 0.7448
Pt2 0.0000 0.8526 0.7552
Al1 0.5000 0.3212 0.0000
Ho1 0.5000 0.7110 0.2855
Ho2 0.5000 0.7110 0.7145
Pt3 0.2507 0.4055 0.5000
Pt4 0.2493 0.5945 0.0000
Ho3 0.0000 0.2890 0.7855
Pt5 0.0000 0.8526 0.2448
Pt6 0.7585 0.9811 0.5000
Pt7 0.2415 0.9811 0.5000
Pt8 0.5000 0.1474 0.2552
Pt9 0.2585 0.0189 0.0000
Pt10 0.7507 0.5945 0.0000
Ho4 0.0000 0.2890 0.2145
B1 0.5000 0.1904 0.5000
Pt11 0.7415 0.0189 0.0000
Pt12 0.7493 0.4055 0.5000
Al2 0.0000 0.6788 0.5000
B2 0.0000 0.8096 0.0000

Computed properties:
Density of states at the Fermi level (states/eV per cell): 5.95
Theoretical density (g/cm3): 14.4
Formation energy (kJ per mole of atoms): -93
Space-group type: No. 59